VASP calculation (PBE-GGA) on crystalline TiCoI at its relaxed geometry.

Geometry as POSCAR:
```
TiCoI
1.0
3.747 -0.111 0.094
-1.746 4.407 -0.113
-0.149 -0.756 9.081
I Co Ti
2 2 2
Direct
0.615 0.246 0.798 I
0.385 0.754 0.202 I
0.894 0.783 0.402 Co
0.106 0.217 0.598 Co
0.368 0.740 0.571 Ti
0.632 0.260 0.429 Ti
```

Computed properties:
* E: -34.219 eV per cell